Entry from Alexandria via LeMat-Bulk: a relaxed structure of Sr2MnBPt (GGA-PBEsol).

Cell lengths 5.5473, 5.5473, 3.9836 Å; angles 90.00, 90.00, 90.00 degrees
Atoms (fractional coordinates):
1 Sr 0.0000 0.5000 0.0000
2 Sr 0.5000 0.0000 0.0000
3 Mn 0.0000 0.0000 0.5000
4 B 0.5000 0.5000 0.0000
5 Pt 0.5000 0.5000 0.5000

Output
V: 122.6 Å³/f.u.
crystal system: tetragonal
SG: P4/mmm, No. 123
energy: -26.5 eV/f.u.
magnetization: 4.3 μB/f.u.
DFT formation energy: 0.177 eV per atom